# Pb5Au | Alexandria via LeMat-Bulk | meta-GGA SCAN | single point on PBEsol structure
# Distance to the lowest polymorph of the same formula (eV per atom): 0.010
# Theoretical density (Mg/m³): 12.4
# Energy relative to the elements (eV per atom): 0.000
data_Pb5Au
_cell_length_a 12.721
_cell_length_b 3.575
_cell_length_c 7.551
_cell_angle_alpha 90.00
_cell_angle_beta 106.52
_cell_angle_gamma 90.00
_symmetry_space_group_name_H-M 'C 1 2/m 1'
_symmetry_Int_Tables_number 12
loop_
_symmetry_equiv_pos_as_xyz
'x,y,z'
'-x,-y,-z'
'-x,y,-z'
'x,-y,z'
'x+1/2,y+1/2,z'
'-x+1/2,-y+1/2,-z'
'-x+1/2,y+1/2,-z'
'x+1/2,-y+1/2,z'
loop_
_atom_site_label
_atom_site_type_symbol
_atom_site_fract_x
_atom_site_fract_y
_atom_site_fract_z
Pb1 Pb 0.000 0.000 0.000
Pb2 Pb 0.146 0.500 0.353
Pb3 Pb 0.159 0.500 0.801
Au1 Au 0.000 0.000 0.500

# PbAu4 | Alexandria via LeMat-Bulk | meta-GGA SCAN | single point on PBEsol structure
# Theoretical density (Mg/m³): 15.8
# Energy relative to the elements (eV per atom): 0.062
data_PbAu4
_cell_length_a 9.418
_cell_length_b 9.418
_cell_length_c 9.418
_cell_angle_alpha 90.00
_cell_angle_beta 90.00
_cell_angle_gamma 90.00
_symmetry_space_group_name_H-M 'I -4 3 m'
_symmetry_Int_Tables_number 217
_symmetry_space_group_name_Hall 'I -4 2 3'
loop_
_atom_site_label
_atom_site_type_symbol
_atom_site_fract_x
_atom_site_fract_y
_atom_site_fract_z
Pb1 Pb 0.213 0.213 0.787
Au1 Au 0.000 0.000 0.350
Au2 Au 0.000 0.250 0.500
Au3 Au 0.110 0.110 0.110

# PbAu7 | Alexandria via LeMat-Bulk | meta-GGA SCAN | single point on PBEsol structure
# Theoretical density (Mg/m³): 18.3
# Energy relative to the elements (eV per atom): 0.082
data_PbAu7
_cell_length_a 8.324
_cell_length_b 8.324
_cell_length_c 8.324
_cell_angle_alpha 90.00
_cell_angle_beta 90.00
_cell_angle_gamma 90.00
_symmetry_space_group_name_H-M 'F m -3 m'
_symmetry_Int_Tables_number 225
_symmetry_space_group_name_Hall '-F 4 2 3'
loop_
_atom_site_label
_atom_site_type_symbol
_atom_site_fract_x
_atom_site_fract_y
_atom_site_fract_z
Pb1 Pb 0.000 0.000 0.000
Au1 Au 0.000 0.000 0.500
Au2 Au 0.000 0.250 0.250

# Pb3Au2 | Alexandria via LeMat-Bulk | meta-GGA SCAN | single point on PBEsol structure
# Theoretical density (Mg/m³): 13.1
# Energy relative to the elements (eV per atom): -0.049
data_Pb3Au2
_cell_length_a 3.8383
_cell_length_b 3.8383
_cell_length_c 30.1648
_cell_angle_alpha 90.00
_cell_angle_beta 90.00
_cell_angle_gamma 120.00
_symmetry_space_group_name_H-M 'R -3 m'
_symmetry_Int_Tables_number 166
_symmetry_space_group_name_Hall '-R 3 2"'
loop_
_atom_site_label
_atom_site_type_symbol
_atom_site_fract_x
_atom_site_fract_y
_atom_site_fract_z
Pb1 Pb 0.0000 0.0000 0.0000
Pb2 Pb 0.0000 0.0000 0.2090
Au1 Au 0.0000 0.0000 0.3969

# Pb3Au | Alexandria via LeMat-Bulk | meta-GGA SCAN | single point on PBEsol structure
# Theoretical density (Mg/m³): 12.8
# Energy relative to the elements (eV per atom): -0.022
data_Pb3Au
_cell_length_a 8.552
_cell_length_b 10.907
_cell_length_c 4.539
_cell_angle_alpha 90.00
_cell_angle_beta 90.00
_cell_angle_gamma 90.00
_symmetry_space_group_name_H-M 'C m c m'
_symmetry_Int_Tables_number 63
_symmetry_space_group_name_Hall '-C 2c 2'
loop_
_atom_site_label
_atom_site_type_symbol
_atom_site_fract_x
_atom_site_fract_y
_atom_site_fract_z
Pb1 Pb 0.000 0.115 0.250
Pb2 Pb 0.204 0.380 0.250
Au1 Au 0.000 0.298 0.750

# Pb5Au | Alexandria via LeMat-Bulk | meta-GGA SCAN | single point on PBEsol structure
# Distance to the lowest polymorph of the same formula (eV per atom): 0.000
# Theoretical density (Mg/m³): 12.5
# Energy relative to the elements (eV per atom): -0.010
data_Pb5Au
_cell_length_a 3.509
_cell_length_b 3.509
_cell_length_c 13.297
_cell_angle_alpha 90.00
_cell_angle_beta 90.00
_cell_angle_gamma 90.00
_symmetry_space_group_name_H-M 'P 4/m m m'
_symmetry_Int_Tables_number 123
_symmetry_space_group_name_Hall '-P 4 2'
loop_
_atom_site_label
_atom_site_type_symbol
_atom_site_fract_x
_atom_site_fract_y
_atom_site_fract_z
Pb1 Pb 0.000 0.000 0.000
Pb2 Pb 0.000 0.000 0.366
Pb3 Pb 0.500 0.500 0.179
Au1 Au 0.500 0.500 0.500

# PbAu8 | Alexandria via LeMat-Bulk | meta-GGA SCAN | single point on PBEsol structure
# Theoretical density (Mg/m³): 18.3
# Energy relative to the elements (eV per atom): 0.062
data_PbAu8
_cell_length_a 8.851
_cell_length_b 8.851
_cell_length_c 4.131
_cell_angle_alpha 90.00
_cell_angle_beta 90.00
_cell_angle_gamma 90.00
_symmetry_space_group_name_H-M 'I 4/m m m'
_symmetry_Int_Tables_number 139
_symmetry_space_group_name_Hall '-I 4 2'
loop_
_atom_site_label
_atom_site_type_symbol
_atom_site_fract_x
_atom_site_fract_y
_atom_site_fract_z
Pb1 Pb 0.000 0.000 0.000
Au1 Au 0.000 0.338 0.000
Au2 Au 0.173 0.173 0.500

# Pb4Au | Alexandria via LeMat-Bulk | meta-GGA SCAN | single point on PBEsol structure
# Theoretical density (Mg/m³): 12.7
# Energy relative to the elements (eV per atom): -0.012
data_Pb4Au
_cell_length_a 8.729
_cell_length_b 8.729
_cell_length_c 3.532
_cell_angle_alpha 90.00
_cell_angle_beta 90.00
_cell_angle_gamma 90.00
_symmetry_space_group_name_H-M 'I 4/m'
_symmetry_Int_Tables_number 87
_symmetry_space_group_name_Hall '-I 4'
loop_
_atom_site_label
_atom_site_type_symbol
_atom_site_fract_x
_atom_site_fract_y
_atom_site_fract_z
Pb1 Pb 0.079 0.728 0.000
Au1 Au 0.000 0.000 0.500

Computed total magnetization (μB/atom) in order:
0.00 0.00 0.00 0.00 0.00 0.00 0.00 0.00